1.
A geometry-optimized InFe2Rh structure. Source: Alexandria, functional PBE.

M_tot = 5.4 μB/f.u.
calculated total energy = -6.758 eV per atom

```
data_InFe2Rh
_chemical_formula_sum 'In4 Fe8 Rh4'
_cell_length_a 6.156
_cell_length_b 6.156
_cell_length_c 6.156
_cell_angle_alpha 90.00
_cell_angle_beta 90.00
_cell_angle_gamma 90.00
_symmetry_space_group_name_H-M 'F -4 3 m'
_symmetry_Int_Tables_number 216
_symmetry_space_group_name_Hall 'F -4 2 3'
loop_
_atom_site_label
_atom_site_type_symbol
_atom_site_fract_x
_atom_site_fract_y
_atom_site_fract_z
_atom_site_occupancy
In1 In 0.000 0.000 0.000 1
Fe1 Fe 0.000 0.000 0.500 1
Fe2 Fe 0.250 0.250 0.250 1
Rh1 Rh 0.250 0.250 0.750 1
```


2.
A geometry-optimized Cd3SnPb structure. Source: Alexandria, functional PBE.

M_tot = 0.0 μB/f.u.
energy relative to the lowest polymorph listed for this composition = 1.8 kJ/mol of atoms

```
data_Cd3SnPb
_chemical_formula_sum 'Cd6 Sn2 Pb2'
_cell_length_a 4.507
_cell_length_b 4.507
_cell_length_c 13.300
_cell_angle_alpha 90.00
_cell_angle_beta 90.00
_cell_angle_gamma 90.00
_symmetry_space_group_name_H-M 'I 4 m m'
_symmetry_Int_Tables_number 107
_symmetry_space_group_name_Hall 'I 4 -2'
loop_
_atom_site_label
_atom_site_type_symbol
_atom_site_fract_x
_atom_site_fract_y
_atom_site_fract_z
_atom_site_occupancy
Cd1 Cd 0.000 0.000 0.000 1
Cd2 Cd 0.000 0.500 0.360 1
Sn1 Sn 0.000 0.000 0.212 1
Pb1 Pb 0.000 0.000 0.600 1
```


3.
A geometry-optimized PrHg4Pb7 structure. Source: Alexandria, functional PBE.

M_tot = 0.0 μB/f.u.
calculated total energy = -2.628 eV per atom

```
data_PrHg4Pb7
_chemical_formula_sum 'Pr2 Hg8 Pb14'
_cell_length_a 13.446
_cell_length_b 6.398
_cell_length_c 9.908
_cell_angle_alpha 90.00
_cell_angle_beta 119.87
_cell_angle_gamma 90.00
_symmetry_space_group_name_H-M 'C 1 2/m 1'
_symmetry_Int_Tables_number 12
_symmetry_space_group_name_Hall '-C 2y'
loop_
_atom_site_label
_atom_site_type_symbol
_atom_site_fract_x
_atom_site_fract_y
_atom_site_fract_z
_atom_site_occupancy
Pr1 Pr 0.000 0.000 0.000 1
Hg1 Hg 0.003 0.500 0.673 1
Hg2 Hg 0.237 0.500 0.338 1
Pb1 Pb 0.000 0.500 0.000 1
Pb2 Pb 0.014 0.000 0.352 1
Pb3 Pb 0.235 0.500 0.664 1
Pb4 Pb 0.249 0.000 0.972 1
```


4.
A geometry-optimized Pr6HgRu2Cl3 structure. Source: Alexandria, functional PBE.

raw formation energy = -911 meV per atom
M_tot = 0.0 μB/f.u.

```
data_Pr6HgRu2Cl3
_chemical_formula_sum 'Pr12 Hg2 Ru4 Cl6'
_cell_length_a 7.253
_cell_length_b 12.665
_cell_length_c 8.028
_cell_angle_alpha 90.00
_cell_angle_beta 107.22
_cell_angle_gamma 90.00
_symmetry_space_group_name_H-M 'C 1 2/m 1'
_symmetry_Int_Tables_number 12
_symmetry_space_group_name_Hall '-C 2y'
loop_
_atom_site_label
_atom_site_type_symbol
_atom_site_fract_x
_atom_site_fract_y
_atom_site_fract_z
_atom_site_occupancy
Pr1 Pr 0.202 0.000 0.213 1
Pr2 Pr 0.250 0.184 0.790 1
Hg1 Hg 0.000 0.500 0.000 1
Ru1 Ru 0.000 0.165 0.000 1
Cl1 Cl 0.000 0.000 0.500 1
Cl2 Cl 0.000 0.325 0.500 1
```


5.
A geometry-optimized RhAu3N structure. Source: Alexandria, functional PBE.

raw formation energy = 2289 meV per atom
M_tot = 0.0 μB/f.u.
energy relative to the lowest polymorph listed for this composition = 136.0 kJ/mol of atoms

```
data_RhAu3N
_chemical_formula_sum 'Rh1 Au3 N1'
_cell_length_a 4.986
_cell_length_b 4.986
_cell_length_c 4.986
_cell_angle_alpha 90.00
_cell_angle_beta 90.00
_cell_angle_gamma 90.00
_symmetry_space_group_name_H-M 'P m -3 m'
_symmetry_Int_Tables_number 221
_symmetry_space_group_name_Hall '-P 4 2 3'
loop_
_atom_site_label
_atom_site_type_symbol
_atom_site_fract_x
_atom_site_fract_y
_atom_site_fract_z
_atom_site_occupancy
Rh1 Rh 0.000 0.000 0.000 1
Au1 Au 0.000 0.000 0.500 1
N1 N 0.500 0.500 0.500 1
```


6.
A geometry-optimized KPb3 structure. Source: Alexandria, functional PBE.

M_tot = 0.0 μB/f.u.
calculated total energy = -3.114 eV per atom

```
data_KPb3
_chemical_formula_sum 'K1 Pb3'
_cell_length_a 3.577
_cell_length_b 5.796
_cell_length_c 6.875
_cell_angle_alpha 90.00
_cell_angle_beta 96.67
_cell_angle_gamma 90.00
_symmetry_space_group_name_H-M 'P 1 2/m 1'
_symmetry_Int_Tables_number 10
_symmetry_space_group_name_Hall '-P 2y'
loop_
_atom_site_label
_atom_site_type_symbol
_atom_site_fract_x
_atom_site_fract_y
_atom_site_fract_z
_atom_site_occupancy
K1 K 0.000 0.000 0.000 1
Pb1 Pb 0.292 0.500 0.699 1
Pb2 Pb 0.500 0.000 0.500 1
```